No. 1
A plane-wave DFT calculation with PBE was carried out for a geometry-optimized TlIn11Hg17 structure.

Values from the calculation:
- ΔH_f (0 K) (meV per atom) = 12
- uncorrected energy (Ry per atom) = -0.09449
- M_tot (μB/f.u.) = 0.0

abc: 8.749 8.848 11.192
angles: 71.58 76.51 75.40
Positions (direct):
Tl: 0.000 0.000 0.000
In: 0.175 0.350 0.714
In: 0.235 0.478 0.125
In: 0.269 0.051 0.347
In: 0.488 0.071 0.786
In: 0.553 0.881 0.561
In: 0.576 0.909 0.089
In: 0.580 0.483 0.184
In: 0.592 0.267 0.492
In: 0.838 0.222 0.727
In: 0.903 0.437 0.948
In: 0.910 0.799 0.350
Hg: 0.177 0.655 0.840
Hg: 0.199 0.697 0.527
Hg: 0.200 0.009 0.669
Hg: 0.256 0.791 0.201
Hg: 0.259 0.376 0.418
Hg: 0.265 0.196 0.010
Hg: 0.481 0.704 0.909
Hg: 0.502 0.486 0.698
Hg: 0.557 0.665 0.388
Hg: 0.603 0.292 0.973
Hg: 0.633 0.090 0.265
Hg: 0.821 0.841 0.837
Hg: 0.835 0.615 0.663
Hg: 0.884 0.643 0.141
Hg: 0.900 0.424 0.439
Hg: 0.912 0.007 0.533
Hg: 0.949 0.218 0.232

---

No. 2
A plane-wave DFT calculation with PBE was carried out for a geometry-optimized Tl12In3Hg structure.

Values from the calculation:
- ΔH_f (0 K) (meV per atom) = 13
- uncorrected energy (Ry per atom) = -0.16864
- M_tot (μB/f.u.) = 0.0

abc: 5.600 5.600 15.359
angles: 90.00 90.00 90.00
Positions (direct):
Tl: 0.000 0.000 0.000
Tl: 0.000 0.000 0.249
Tl: 0.000 0.000 0.500
Tl: 0.000 0.000 0.751
Tl: 0.000 0.500 0.123
Tl: 0.000 0.500 0.375
Tl: 0.000 0.500 0.625
Tl: 0.000 0.500 0.877
Tl: 0.500 0.000 0.123
Tl: 0.500 0.000 0.375
Tl: 0.500 0.000 0.625
Tl: 0.500 0.000 0.877
In: 0.500 0.500 0.254
In: 0.500 0.500 0.500
In: 0.500 0.500 0.746
Hg: 0.500 0.500 0.000

---

No. 3
A plane-wave DFT calculation with PBE was carried out for a geometry-optimized Tl7InHg4 structure.

Values from the calculation:
- energy above the lowest structure with this stoichiometry (meV/atom) = 25
- ΔH_f (0 K) (meV per atom) = 32
- uncorrected energy (Ry per atom) = -0.12330
- M_tot (μB/f.u.) = 0.0

abc: 7.617 7.617 9.977
angles: 118.15 118.15 48.80
Positions (direct):
Tl: 0.000 0.000 0.000
Tl: 0.244 0.244 0.638
Tl: 0.253 0.253 0.985
Tl: 0.497 0.497 0.665
Tl: 0.503 0.503 0.335
Tl: 0.747 0.747 0.015
Tl: 0.756 0.756 0.362
In: 0.500 0.500 0.000
Hg: 0.005 0.005 0.669
Hg: 0.253 0.253 0.316
Hg: 0.747 0.747 0.684
Hg: 0.995 0.995 0.331

---

No. 4
A plane-wave DFT calculation with PBE was carried out for a geometry-optimized Tl14InHg structure.

Values from the calculation:
- ΔH_f (0 K) (meV per atom) = 13
- uncorrected energy (Ry per atom) = -0.16516
- M_tot (μB/f.u.) = 0.0

abc: 11.439 6.927 6.927
angles: 62.03 90.00 90.00
Positions (direct):
Tl: 0.000 0.000 0.000
Tl: 0.000 0.002 0.505
Tl: 0.000 0.499 0.499
Tl: 0.000 0.505 0.002
Tl: 0.245 0.168 0.168
Tl: 0.248 0.670 0.670
Tl: 0.259 0.170 0.667
Tl: 0.259 0.667 0.170
Tl: 0.500 0.382 0.888
Tl: 0.500 0.888 0.382
Tl: 0.741 0.170 0.667
Tl: 0.741 0.667 0.170
Tl: 0.752 0.670 0.670
Tl: 0.755 0.168 0.168
In: 0.500 0.880 0.880
Hg: 0.500 0.384 0.384

---

No. 5
A plane-wave DFT calculation with PBE was carried out for a geometry-optimized Tl2In3Hg5 structure.

Values from the calculation:
- energy above the lowest structure with this stoichiometry (meV/atom) = 26
- ΔH_f (0 K) (meV per atom) = 36
- uncorrected energy (Ry per atom) = -0.10360
- M_tot (μB/f.u.) = 0.0

abc: 10.122 10.122 10.122
angles: 100.97 90.65 142.98
Positions (direct):
Tl: 0.149 0.224 0.373
Tl: 0.351 0.724 0.075
Tl: 0.649 0.276 0.925
Tl: 0.851 0.776 0.627
In: 0.145 0.891 0.036
In: 0.250 0.750 0.500
In: 0.355 0.391 0.745
In: 0.645 0.609 0.255
In: 0.750 0.250 0.500
In: 0.855 0.109 0.964
Hg: 0.040 0.750 0.290
Hg: 0.085 0.678 0.763
Hg: 0.250 0.250 0.000
Hg: 0.415 0.178 0.593
Hg: 0.460 0.750 0.710
Hg: 0.540 0.250 0.290
Hg: 0.585 0.822 0.407
Hg: 0.750 0.750 0.000
Hg: 0.915 0.322 0.237
Hg: 0.960 0.250 0.710

---

No. 6
A plane-wave DFT calculation with PBE was carried out for a geometry-optimized TlInHg structure.

Values from the calculation:
- ΔH_f (0 K) (meV per atom) = 14
- uncorrected energy (Ry per atom) = -0.13141
- M_tot (μB/f.u.) = 0.0

abc: 3.428 5.060 9.863
angles: 90.51 96.69 92.36
Positions (direct):
Tl: 0.000 0.000 0.000
Tl: 0.319 0.985 0.343
In: 0.470 0.498 0.828
In: 0.853 0.487 0.512
Hg: 0.147 0.992 0.672
Hg: 0.654 0.492 0.170

---

No. 7
A plane-wave DFT calculation with PBE was carried out for a geometry-optimized TlInHg structure.

Values from the calculation:
- ΔH_f (0 K) (meV per atom) = 15
- uncorrected energy (Ry per atom) = -0.13137
- M_tot (μB/f.u.) = 0.0

abc: 7.582 7.582 7.582
angles: 154.07 154.07 37.00
Positions (direct):
Tl: 0.000 0.000 0.000
In: 0.679 0.679 0.000
Hg: 0.332 0.332 0.000

---

No. 8
A plane-wave DFT calculation with PBE was carried out for a geometry-optimized Tl5In4Hg4 structure.

Values from the calculation:
- ΔH_f (0 K) (meV per atom) = 13
- uncorrected energy (Ry per atom) = -0.13470
- M_tot (μB/f.u.) = 0.0

abc: 9.329 9.329 9.329
angles: 93.54 93.54 151.22
Positions (direct):
Tl: 0.000 0.000 0.000
Tl: 0.301 0.392 0.692
Tl: 0.392 0.699 0.091
Tl: 0.608 0.301 0.909
Tl: 0.699 0.608 0.308
In: 0.096 0.589 0.685
In: 0.411 0.096 0.507
In: 0.589 0.904 0.493
In: 0.904 0.411 0.315
Hg: 0.089 0.242 0.331
Hg: 0.242 0.911 0.153
Hg: 0.758 0.089 0.847
Hg: 0.911 0.758 0.669

---

No. 9
A plane-wave DFT calculation with PBE was carried out for a geometry-optimized Tl2In2Hg5 structure.

Values from the calculation:
- ΔH_f (0 K) (meV per atom) = 18
- uncorrected energy (Ry per atom) = -0.09438
- M_tot (μB/f.u.) = 0.0

abc: 9.260 9.260 7.922
angles: 90.00 90.00 50.14
Positions (direct):
Tl: 0.213 0.213 0.000
Tl: 0.287 0.287 0.500
Tl: 0.713 0.713 0.500
Tl: 0.787 0.787 0.000
In: 0.141 0.859 0.641
In: 0.359 0.641 0.141
In: 0.641 0.359 0.859
In: 0.859 0.141 0.359
Hg: 0.000 0.000 0.000
Hg: 0.037 0.694 0.333
Hg: 0.194 0.537 0.833
Hg: 0.306 0.963 0.333
Hg: 0.463 0.806 0.833
Hg: 0.500 0.500 0.500
Hg: 0.537 0.194 0.167
Hg: 0.694 0.037 0.667
Hg: 0.806 0.463 0.167
Hg: 0.963 0.306 0.667

---

No. 10
A plane-wave DFT calculation with PBE was carried out for a geometry-optimized Tl3InHg8 structure.

Values from the calculation:
- energy above the lowest structure with this stoichiometry (meV/atom) = 0
- ΔH_f (0 K) (meV per atom) = -17
- uncorrected energy (Ry per atom) = -0.07625
- M_tot (μB/f.u.) = 0.0

abc: 8.331 8.331 8.331
angles: 98.41 93.61 142.26
Positions (direct):
Tl: 0.000 0.000 0.000
Tl: 0.252 0.498 0.753
Tl: 0.745 0.498 0.247
In: 0.500 0.000 0.500
Hg: 0.000 0.334 0.334
Hg: 0.000 0.666 0.666
Hg: 0.252 0.169 0.424
Hg: 0.252 0.827 0.082
Hg: 0.500 0.323 0.823
Hg: 0.500 0.677 0.177
Hg: 0.745 0.169 0.918
Hg: 0.745 0.827 0.576

---

No. 11
A plane-wave DFT calculation with PBE was carried out for a geometry-optimized TlIn9Hg4 structure.

Values from the calculation:
- ΔH_f (0 K) (meV per atom) = 26
- uncorrected energy (Ry per atom) = -0.14624
- M_tot (μB/f.u.) = 0.0

abc: 9.433 9.463 9.528
angles: 78.35 72.06 74.45
Positions (direct):
Tl: 0.250 0.142 0.367
Tl: 0.750 0.858 0.633
In: 0.000 0.000 0.000
In: 0.034 0.938 0.329
In: 0.134 0.305 0.692
In: 0.178 0.739 0.594
In: 0.180 0.675 0.059
In: 0.309 0.447 0.832
In: 0.319 0.095 0.988
In: 0.456 0.366 0.139
In: 0.487 0.163 0.565
In: 0.500 0.500 0.500
In: 0.513 0.837 0.435
In: 0.544 0.634 0.861
In: 0.681 0.905 0.012
In: 0.691 0.553 0.168
In: 0.820 0.325 0.941
In: 0.822 0.261 0.406
In: 0.866 0.695 0.308
In: 0.966 0.062 0.671
Hg: 0.055 0.353 0.127
Hg: 0.182 0.514 0.394
Hg: 0.313 0.913 0.753
Hg: 0.378 0.791 0.193
Hg: 0.622 0.209 0.807
Hg: 0.687 0.087 0.247
Hg: 0.818 0.486 0.606
Hg: 0.945 0.647 0.873

---

No. 12
A plane-wave DFT calculation with PBE was carried out for a geometry-optimized TlIn4Hg12 structure.

Values from the calculation:
- ΔH_f (0 K) (meV per atom) = 69
- uncorrected energy (Ry per atom) = -0.06818
- M_tot (μB/f.u.) = 0.0

abc: 8.851 8.851 8.851
angles: 109.47 109.47 109.47
Positions (direct):
Tl: 0.000 0.000 0.000
In: 0.000 0.000 0.500
In: 0.000 0.500 0.000
In: 0.500 0.000 0.000
In: 0.500 0.500 0.500
Hg: 0.147 0.499 0.352
Hg: 0.147 0.795 0.648
Hg: 0.205 0.352 0.853
Hg: 0.352 0.147 0.499
Hg: 0.352 0.853 0.205
Hg: 0.499 0.352 0.147
Hg: 0.501 0.648 0.853
Hg: 0.648 0.147 0.795
Hg: 0.648 0.853 0.501
Hg: 0.795 0.648 0.147
Hg: 0.853 0.205 0.352
Hg: 0.853 0.501 0.648